Entry 1:
Ag2BO3 | PBE | optimized geometry

a = 5.1673 Å, b = 5.1673 Å, c = 7.0805 Å
α = 90.00°, β = 90.00°, γ = 120.00°
Each line ends with the local moment (μB).
Element x y z (fractional)
O  0.8205  0.6409  0.7501  0.19
O  0.8205  0.1795  0.7501  0.19
O  0.6409  0.8205  0.2499  0.19
O  0.3591  0.1795  0.7501  0.19
B  0.3333  0.6667  0.2499  -0.02
Ag  0.6667  0.3333  0.2502  0.13
Ag  0.0000  0.0000  0.5000  0.17
B  0.6667  0.3333  0.7501  -0.02
Ag  0.3333  0.6667  0.7498  0.13
O  0.1795  0.3591  0.2499  0.19
O  0.1795  0.8205  0.2499  0.19
Ag  0.0000  0.0000  0.0000  0.17

Summary:
M_tot	1.84	μB/cell
uncorrected energy	-5.416	eV/atom


Entry 2:
AgBO2 | PBE | optimized geometry

a = 4.0891 Å, b = 6.2500 Å, c = 5.2894 Å
α = 53.79°, β = 101.47°, γ = 109.68°
Element x y z (fractional)
B  0.2500  0.4983  0.5034
B  0.7500  0.5017  0.4966
O  0.9352  0.4619  0.3185
Ag  0.7500  0.1238  0.2524
O  0.4352  0.2804  0.6815
O  0.0648  0.5381  0.6815
Ag  0.2500  0.8762  0.7476
O  0.5648  0.7196  0.3185

Summary:
M_tot	0.00	μB/cell
uncorrected energy	-6.348	eV/atom


Entry 3:
AgBP2O | PBE | optimized geometry

a = 5.2605 Å, b = 5.2605 Å, c = 2.6204 Å
α = 90.00°, β = 90.00°, γ = 90.00°
Element x y z (fractional)
P  0.5000  0.0000  0.0000
P  0.0000  0.5000  0.0000
O  0.0000  0.0000  0.5000
Ag  0.5000  0.5000  0.5000
B  0.0000  0.0000  0.0000

Summary:
M_tot	0.01	μB/cell
uncorrected energy	-4.923	eV/atom
E above lowest polymorph	0.0	meV/atom


Please write out number 3 again, unchanged.
AgBP2O | PBE | optimized geometry

a = 5.2605 Å, b = 5.2605 Å, c = 2.6204 Å
α = 90.00°, β = 90.00°, γ = 90.00°
Element x y z (fractional)
P  0.5000  0.0000  0.0000
P  0.0000  0.5000  0.0000
O  0.0000  0.0000  0.5000
Ag  0.5000  0.5000  0.5000
B  0.0000  0.0000  0.0000

Summary:
M_tot	0.01	μB/cell
uncorrected energy	-4.923	eV/atom
E above lowest polymorph	0.0	meV/atom